a) First-principles (PBE-GGA) data for an optimized crystal structure of CdHgSe2, as listed in Alexandria via LeMat-Bulk.

```
data_CdHgSe2
_chemical_formula_sum 'Cd4 Hg4 Se8'
_cell_length_a 7.436
_cell_length_b 4.121
_cell_length_c 14.001
_cell_angle_alpha 90.00
_cell_angle_beta 90.00
_cell_angle_gamma 90.00
_symmetry_space_group_name_H-M 'P n m a'
_symmetry_Int_Tables_number 62
loop_
_symmetry_equiv_pos_as_xyz
'x,y,z'
'-x,-y,-z'
'-x+1/2,-y,z+1/2'
'x+1/2,y,-z+1/2'
'x+1/2,-y+1/2,-z+1/2'
'-x+1/2,y+1/2,z+1/2'
'-x,y+1/2,-z'
'x,-y+1/2,z'
loop_
_atom_site_label
_atom_site_type_symbol
_atom_site_fract_x
_atom_site_fract_y
_atom_site_fract_z
Cd1 Cd 0.096 0.250 0.115
Hg1 Hg 0.081 0.750 0.387
Se1 Se 0.065 0.750 0.711
Se2 Se 0.222 0.750 0.995
```

Mass density: 7.29 g/cm³


b) First-principles (PBE-GGA) data for an optimized crystal structure of CdHgSe2, as listed in Alexandria via LeMat-Bulk.

```
data_CdHgSe2
_chemical_formula_sum 'Cd3 Hg3 Se6'
_cell_length_a 4.4297
_cell_length_b 4.4297
_cell_length_c 25.1896
_cell_angle_alpha 90.00
_cell_angle_beta 90.00
_cell_angle_gamma 120.00
_symmetry_space_group_name_H-M 'R 3 m'
_symmetry_Int_Tables_number 160
_symmetry_space_group_name_Hall 'R 3 -2"'
loop_
_atom_site_label
_atom_site_type_symbol
_atom_site_fract_x
_atom_site_fract_y
_atom_site_fract_z
Cd1 Cd 0.0000 0.0000 0.0000
Hg1 Hg 0.0000 0.0000 0.8224
Se1 Se 0.0000 0.0000 0.3171
Se2 Se 0.0000 0.0000 0.5096
```

Mass density: 5.48 g/cm³


Here is how they stack up, most stable first: a), b).


a) First-principles (PBE-GGA) data for an optimized crystal structure of ReAs, as listed in Alexandria via LeMat-Bulk.

```
data_ReAs
_chemical_formula_sum 'Re4 As4'
_cell_length_a 3.110
_cell_length_b 9.031
_cell_length_c 4.696
_cell_angle_alpha 90.00
_cell_angle_beta 90.00
_cell_angle_gamma 90.00
_symmetry_space_group_name_H-M 'C m c m'
_symmetry_Int_Tables_number 63
_symmetry_space_group_name_Hall '-C 2c 2'
loop_
_atom_site_label
_atom_site_type_symbol
_atom_site_fract_x
_atom_site_fract_y
_atom_site_fract_z
Re1 Re 0.000 0.069 0.250
As1 As 0.000 0.354 0.250
```

Mass density: 13.15 g/cm³


b) First-principles (PBE-GGA) data for an optimized crystal structure of ReAs, as listed in Alexandria via LeMat-Bulk.

```
data_ReAs
_chemical_formula_sum 'Re8 As8'
_cell_length_a 7.604
_cell_length_b 7.604
_cell_length_c 7.604
_cell_angle_alpha 90.00
_cell_angle_beta 90.00
_cell_angle_gamma 90.00
_symmetry_space_group_name_H-M 'I -4 3 m'
_symmetry_Int_Tables_number 217
_symmetry_space_group_name_Hall 'I -4 2 3'
loop_
_atom_site_label
_atom_site_type_symbol
_atom_site_fract_x
_atom_site_fract_y
_atom_site_fract_z
Re1 Re 0.126 0.126 0.874
As1 As 0.187 0.187 0.187
```

Mass density: 7.89 g/cm³


Here is how they stack up, most stable first: a), b).